Run 1
Material: BaCa3S
Method: DFT, GGA-PBE
State: optimized geometry

Geometry as CIF:
```
data_BaCa3S
_chemical_formula_sum 'Ba1 Ca3 S1'
_cell_length_a 5.803
_cell_length_b 5.803
_cell_length_c 5.803
_cell_angle_alpha 90.00
_cell_angle_beta 90.00
_cell_angle_gamma 90.00
_space_group_name_H-M_alt 'P m -3 m'
_space_group_IT_number 221
_space_group_name_Hall '-P 4 2 3'
loop_
_atom_site_label
_atom_site_type_symbol
_atom_site_fract_x
_atom_site_fract_y
_atom_site_fract_z
Ba1 Ba 0.000 0.000 0.000
Ca1 Ca 0.000 0.500 0.500
S1 S 0.500 0.500 0.500
```

Calculated values
**Crystal system**: cubic

---

Run 2
Material: BaCa3S
Method: DFT, GGA-PBE
State: optimized geometry

Geometry as CIF:
```
data_BaCa3S
_chemical_formula_sum 'Ba1 Ca3 S1'
_cell_length_a 6.213
_cell_length_b 6.213
_cell_length_c 6.213
_cell_angle_alpha 90.00
_cell_angle_beta 90.00
_cell_angle_gamma 90.00
_space_group_name_H-M_alt 'P m -3 m'
_space_group_IT_number 221
_space_group_name_Hall '-P 4 2 3'
loop_
_atom_site_label
_atom_site_type_symbol
_atom_site_fract_x
_atom_site_fract_y
_atom_site_fract_z
Ba1 Ba 0.000 0.000 0.000
Ca1 Ca 0.000 0.000 0.500
S1 S 0.500 0.500 0.500
```

Calculated values
**Crystal system**: cubic

---

Result of the stability comparison: run 1 is the most stable of them.

---

Run 1
Material: BaSr2CaS
Method: DFT, GGA-PBE
State: optimized geometry

Geometry as CIF:
```
data_BaSr2CaS
_chemical_formula_sum 'Ba1 Sr2 Ca1 S1'
_cell_length_a 5.938
_cell_length_b 5.938
_cell_length_c 6.417
_cell_angle_alpha 90.00
_cell_angle_beta 90.00
_cell_angle_gamma 90.00
_space_group_name_H-M_alt 'P 4/m m m'
_space_group_IT_number 123
_space_group_name_Hall '-P 4 2'
loop_
_atom_site_label
_atom_site_type_symbol
_atom_site_fract_x
_atom_site_fract_y
_atom_site_fract_z
Ba1 Ba 0.000 0.000 0.000
Sr1 Sr 0.000 0.500 0.500
Ca1 Ca 0.500 0.500 0.000
S1 S 0.000 0.000 0.500
```

Calculated values
**Crystal system**: tetragonal

---

Run 2
Material: BaSr2CaS
Method: DFT, GGA-PBE
State: optimized geometry

Geometry as CIF:
```
data_BaSr2CaS
_chemical_formula_sum 'Ba1 Sr2 Ca1 S1'
_cell_length_a 6.156
_cell_length_b 6.156
_cell_length_c 5.760
_cell_angle_alpha 90.00
_cell_angle_beta 90.00
_cell_angle_gamma 90.00
_space_group_name_H-M_alt 'P 4/m m m'
_space_group_IT_number 123
_space_group_name_Hall '-P 4 2'
loop_
_atom_site_label
_atom_site_type_symbol
_atom_site_fract_x
_atom_site_fract_y
_atom_site_fract_z
Ba1 Ba 0.000 0.000 0.000
Sr1 Sr 0.000 0.500 0.500
Ca1 Ca 0.500 0.500 0.000
S1 S 0.500 0.500 0.500
```

Calculated values
**Crystal system**: tetragonal

---

Result of the stability comparison: run 1 is the most stable of them.

---

Run 1
Material: Ba2SrCaS
Method: DFT, GGA-PBE
State: optimized geometry

Geometry as CIF:
```
data_Ba2SrCaS
_chemical_formula_sum 'Ba2 Sr1 Ca1 S1'
_cell_length_a 6.359
_cell_length_b 6.359
_cell_length_c 5.896
_cell_angle_alpha 90.00
_cell_angle_beta 90.00
_cell_angle_gamma 90.00
_space_group_name_H-M_alt 'P 4/m m m'
_space_group_IT_number 123
_space_group_name_Hall '-P 4 2'
loop_
_atom_site_label
_atom_site_type_symbol
_atom_site_fract_x
_atom_site_fract_y
_atom_site_fract_z
Ba1 Ba 0.000 0.500 0.000
Sr1 Sr 0.000 0.000 0.500
Ca1 Ca 0.500 0.500 0.500
S1 S 0.000 0.000 0.000
```

Calculated values
**Crystal system**: tetragonal

---

Run 2
Material: Ba2SrCaS
Method: DFT, GGA-PBE
State: optimized geometry

Geometry as CIF:
```
data_Ba2SrCaS
_chemical_formula_sum 'Ba2 Sr1 Ca1 S1'
_cell_length_a 6.464
_cell_length_b 6.464
_cell_length_c 5.580
_cell_angle_alpha 90.00
_cell_angle_beta 90.00
_cell_angle_gamma 90.00
_space_group_name_H-M_alt 'P 4/m m m'
_space_group_IT_number 123
_space_group_name_Hall '-P 4 2'
loop_
_atom_site_label
_atom_site_type_symbol
_atom_site_fract_x
_atom_site_fract_y
_atom_site_fract_z
Ba1 Ba 0.000 0.500 0.000
Sr1 Sr 0.000 0.000 0.500
Ca1 Ca 0.500 0.500 0.500
S1 S 0.500 0.500 0.000
```

Calculated values
**Crystal system**: tetragonal

---

Result of the stability comparison: run 1 is the most stable of them.